Entry from Alexandria: a relaxed structure of NdDy2HfAs4 (PBE).

Calculated values
**Theoretical density**: 8.21 g/cm3
**Crystal system**: monoclinic
**Spin magnetization**: 0.0 μB/f.u.
**Formation energy**: -1.37 eV/atom
**SG**: P2/m

```
data_NdDy2HfAs4
_chemical_formula_sum 'Nd1 Dy2 Hf1 As4'
_cell_length_a 4.073
_cell_length_b 7.066
_cell_length_c 7.049
_cell_angle_alpha 109.24
_cell_angle_beta 90.00
_cell_angle_gamma 90.00
_symmetry_space_group_name_H-M 'P 1'
_symmetry_Int_Tables_number 1
_symmetry_space_group_name_Hall 'P 1'
loop_
_atom_site_label
_atom_site_type_symbol
_atom_site_fract_x
_atom_site_fract_y
_atom_site_fract_z
Dy1 Dy 0.500 0.000 0.500
Dy2 Dy 0.000 0.500 0.500
As1 As 0.000 0.236 0.751
As2 As 0.500 0.766 0.760
As3 As 0.500 0.234 0.240
As4 As 0.000 0.764 0.249
Nd1 Nd 0.500 0.500 0.000
Hf1 Hf 0.000 0.000 0.000
```

=====

Entry from Alexandria: a relaxed structure of MnHPd3 (PBE).

Calculated values
**Theoretical density**: 9.75 g/cm3
**Excess energy over the best structure of this formula in the dataset**: 51.2 kJ/mol of formula units
**Crystal system**: triclinic
**Spin magnetization**: 4.4 μB/f.u.
**SG**: P1

```
data_MnHPd3
_chemical_formula_sum 'Mn2 H2 Pd6'
_cell_length_a 4.945
_cell_length_b 4.978
_cell_length_c 7.918
_cell_angle_alpha 66.11
_cell_angle_beta 113.90
_cell_angle_gamma 133.07
_symmetry_space_group_name_H-M 'P 1'
_symmetry_Int_Tables_number 1
_symmetry_space_group_name_Hall 'P 1'
loop_
_atom_site_label
_atom_site_type_symbol
_atom_site_fract_x
_atom_site_fract_y
_atom_site_fract_z
Pd1 Pd 0.138 0.931 0.802
Pd2 Pd 0.872 0.142 0.933
Pd3 Pd 0.884 0.167 0.410
Pd4 Pd 0.635 0.417 0.545
Pd5 Pd 0.385 0.665 0.672
Pd6 Pd 0.138 0.911 0.288
Mn1 Mn 0.401 0.659 0.193
Mn2 Mn 0.614 0.414 0.043
H1 H 0.021 0.543 0.979
H2 H 0.161 0.900 0.561
```

=====

Entry from Alexandria: a relaxed structure of Na2InHg7 (PBE).

Calculated values
**Theoretical density**: 9.20 g/cm3
**Excess energy over the best structure of this formula in the dataset**: 0.0 kJ/mol of formula units
**Crystal system**: trigonal
**Spin magnetization**: 0.0 μB/f.u.
**Formation energy**: -0.11 eV/atom
**SG**: P3m1

```
data_Na2InHg7
_chemical_formula_sum 'Na2 In1 Hg7'
_cell_length_a 5.090
_cell_length_b 5.090
_cell_length_c 12.595
_cell_angle_alpha 90.00
_cell_angle_beta 90.00
_cell_angle_gamma 120.00
_symmetry_space_group_name_H-M 'P 1'
_symmetry_Int_Tables_number 1
_symmetry_space_group_name_Hall 'P 1'
loop_
_atom_site_label
_atom_site_type_symbol
_atom_site_fract_x
_atom_site_fract_y
_atom_site_fract_z
Hg1 Hg 0.333 0.667 0.151
Hg2 Hg 0.333 0.667 0.885
Hg3 Hg 0.667 0.333 0.526
Hg4 Hg 0.000 0.000 0.329
Hg5 Hg 0.333 0.667 0.402
Hg6 Hg 0.000 0.000 0.762
Hg7 Hg 0.667 0.333 0.975
In1 In 0.000 0.000 0.066
Na1 Na 0.333 0.667 0.644
Na2 Na 0.667 0.333 0.244
```